1.
## TbSmTh2Te5 (PBE)

Data for an optimized crystal structure of TbSmTh2Te5.

a = 5.4549 Å, b = 5.4549 Å, c = 11.7498 Å
α = 90.00°, β = 90.00°, γ = 90.00°
Last column: nearest neighbours and their distance in Å.
Space group P4/mmm (No. 123)
Asymmetric unit:
1 Tb 0.0000 0.0000 0.0000  6 Te 2.73-2.96
2 Sm 0.0000 0.0000 0.5000  2 Te 2.92
3 Th 0.5000 0.5000 0.1566  4 Te 3.29, 1 Th 3.68
4 Te 0.0000 0.0000 0.2516  1 Sm 2.92, 1 Tb 2.96
5 Te 0.0000 0.5000 0.0000  2 Tb 2.73
6 Te 0.5000 0.5000 0.5000  4 Sm 3.86, 2 Th 4.03

As for the energy: -4.97 eV/atom. The total magnetic moment comes out at 0.0001 μB per atom.


2.
## TbSm2Tl3Te6 (PBE)

Data for an optimized crystal structure of TbSm2Tl3Te6.

a = 7.8038 Å, b = 13.5161 Å, c = 8.5865 Å
α = 90.00°, β = 107.64°, γ = 90.00°
Last column: nearest neighbours and their distance in Å.
Space group C2/m (No. 12)
Asymmetric unit:
1 Tb 0.0000 0.0000 0.0000  6 Te 3.12-3.13
2 Sm 0.0000 0.3335 0.0000  6 Te 3.16
3 Tl 0.0000 0.1680 0.5000  6 Te 3.48-3.50
4 Tl 0.0000 0.5000 0.5000  6 Te 3.48-3.50
5 Te 0.2369 0.1648 0.2163  1 Tb 3.12, 2 Sm 3.16, 3 Tl 3.48-3.50
6 Te 0.2431 0.5000 0.2174  1 Tb 3.13, 2 Sm 3.16, 2 Tl 3.48

As for the energy: -4.40 eV/atom. The total magnetic moment comes out at 0.0000 μB per atom.


3.
## TbSm3Tl4Te8 (PBE)

Data for an optimized crystal structure of TbSm3Tl4Te8.

a = 9.0178 Å, b = 9.0178 Å, c = 24.5605 Å
α = 90.00°, β = 90.00°, γ = 120.00°
Last column: nearest neighbours and their distance in Å.
Space group R-3m (No. 166, hexagonal axes)
Asymmetric unit:
1 Tb 0.0000 0.0000 0.0000  6 Te 3.13
2 Sm 0.0000 0.5000 0.0000  6 Te 3.16
3 Tl 0.0000 0.0000 0.5000  6 Te 3.51
4 Tl 0.0000 0.5000 0.5000  6 Te 3.48
5 Te 0.0000 0.0000 0.2605  3 Sm 3.16, 3 Tl 3.48
6 Te 0.0035 0.5017 0.7388  1 Tb 3.13, 2 Sm 3.16, 2 Tl 3.48

As for the energy: -4.40 eV/atom. The total magnetic moment comes out at 0.0000 μB per atom.